First-principles (PBE-GGA) data for an optimized crystal structure of ScZn2Cd, as listed in Alexandria via LeMat-Bulk.

Output
The calculation puts the energy at -2.25 eV per atom. The energy relative to the elements is 0.8 eV/f.u. The calculation puts the density of states at the Fermi level at 0.764 states/eV/atom. As for the crystal system: orthorhombic.

a = 2.9714 Å, b = 5.0649 Å, c = 11.1962 Å
α = 90.00°, β = 90.00°, γ = 90.00°
Space group Immm (No. 71)
Asymmetric unit:
Sc (0.0000, 0.0000, 0.0000) (multiplicity 2)
Zn (0.0000, 0.0000, 0.2569) (multiplicity 4)
Cd (0.0000, 0.0000, 0.5000) (multiplicity 2)

***

First-principles (PBE-GGA) data for an optimized crystal structure of Sc2ZnCd2, as listed in Alexandria via LeMat-Bulk.

Output
The calculation puts the energy at -3.28 eV per atom. The energy relative to the elements is -0.6 eV/f.u. The value obtained for the energy above the most stable polymorph in this dataset is 0.082 eV per atom. The calculation puts the density of states at the Fermi level at 0.880 states/eV/atom. As for the crystal system: tetragonal.

a = 7.2299 Å, b = 7.2299 Å, c = 4.1758 Å
α = 90.00°, β = 90.00°, γ = 90.00°
Space group P4/mbm (No. 127)
Asymmetric unit:
Sc (0.1648, 0.3352, 0.0000) (multiplicity 4)
Zn (0.0000, 0.0000, 0.5000) (multiplicity 2)
Cd (0.1386, 0.6386, 0.5000) (multiplicity 4)

***

First-principles (PBE-GGA) data for an optimized crystal structure of Sc4Zn2Cd5, as listed in Alexandria via LeMat-Bulk.

Output
The calculation puts the energy at -3.19 eV per atom. The energy relative to the elements is -2.6 eV/f.u. The calculation puts the density of states at the Fermi level at 0.792 states/eV/atom. As for the crystal system: monoclinic.

a = 7.4380 Å, b = 3.3779 Å, c = 9.3385 Å
α = 90.00°, β = 93.75°, γ = 90.00°
Space group P2/m (No. 10)
Asymmetric unit:
Sc (0.1724, 0.0000, 0.3661) (multiplicity 2)
Sc (0.2441, 0.0000, 0.9363) (multiplicity 2)
Zn (0.0644, 0.5000, 0.1302) (multiplicity 2)
Cd (0.1751, 0.5000, 0.6516) (multiplicity 2)
Cd (0.4447, 0.5000, 0.1812) (multiplicity 2)
Cd (0.5000, 0.5000, 0.5000) (multiplicity 1)

***

First-principles (PBE-GGA) data for an optimized crystal structure of ScZnCd, as listed in Alexandria via LeMat-Bulk.

Output
The calculation puts the energy at -3.11 eV per atom. The energy relative to the elements is -0.8 eV/f.u. The calculation puts the density of states at the Fermi level at 0.648 states/eV/atom. As for the crystal system: hexagonal.

a = 4.6385 Å, b = 4.6385 Å, c = 3.1830 Å
α = 90.00°, β = 90.00°, γ = 120.00°
Space group P-6m2 (No. 187)
Asymmetric unit:
Sc (0.0000, 0.0000, 0.0000) (multiplicity 1)
Zn (0.3333, 0.6667, 0.5000) (multiplicity 1)
Cd (0.6667, 0.3333, 0.5000) (multiplicity 1)

***

First-principles (PBE-GGA) data for an optimized crystal structure of Sc3ZnCd, as listed in Alexandria via LeMat-Bulk.

Output
The calculation puts the energy at -4.02 eV per atom. The energy relative to the elements is 1.1 eV/f.u. The value obtained for the energy above the most stable polymorph in this dataset is 0.439 eV per atom. The calculation puts the density of states at the Fermi level at 2.754 states/eV/atom. As for the crystal system: cubic.

a = 5.0576 Å, b = 5.0576 Å, c = 5.0576 Å
α = 90.00°, β = 90.00°, γ = 90.00°
Space group Pm-3m (No. 221)
Asymmetric unit:
Sc (0.0000, 0.0000, 0.5000) (multiplicity 3)
Zn (0.0000, 0.0000, 0.0000) (multiplicity 1)
Cd (0.5000, 0.5000, 0.5000) (multiplicity 1)

***

First-principles (PBE-GGA) data for an optimized crystal structure of ScZnCd2, as listed in Alexandria via LeMat-Bulk.

Output
The calculation puts the energy at -2.49 eV per atom. The energy relative to the elements is -0.5 eV/f.u. The calculation puts the density of states at the Fermi level at 0.731 states/eV/atom. As for the crystal system: monoclinic.

a = 3.1562 Å, b = 4.6122 Å, c = 5.7867 Å
α = 90.00°, β = 102.47°, γ = 90.00°
Space group P2/m (No. 10)
Asymmetric unit:
Sc (0.0000, 0.0000, 0.0000) (multiplicity 1)
Zn (0.5000, 0.0000, 0.5000) (multiplicity 1)
Cd (0.3727, 0.5000, 0.7398) (multiplicity 2)

***

Please write out number 1 again, unchanged.
First-principles (PBE-GGA) data for an optimized crystal structure of ScZn2Cd, as listed in Alexandria via LeMat-Bulk.

Output
The calculation puts the energy at -2.25 eV per atom. The energy relative to the elements is 0.8 eV/f.u. The calculation puts the density of states at the Fermi level at 0.764 states/eV/atom. As for the crystal system: orthorhombic.

a = 2.9714 Å, b = 5.0649 Å, c = 11.1962 Å
α = 90.00°, β = 90.00°, γ = 90.00°
Space group Immm (No. 71)
Asymmetric unit:
Sc (0.0000, 0.0000, 0.0000) (multiplicity 2)
Zn (0.0000, 0.0000, 0.2569) (multiplicity 4)
Cd (0.0000, 0.0000, 0.5000) (multiplicity 2)

***

Repeat the sixth record exactly.
First-principles (PBE-GGA) data for an optimized crystal structure of ScZnCd2, as listed in Alexandria via LeMat-Bulk.

Output
The calculation puts the energy at -2.49 eV per atom. The energy relative to the elements is -0.5 eV/f.u. The calculation puts the density of states at the Fermi level at 0.731 states/eV/atom. As for the crystal system: monoclinic.

a = 3.1562 Å, b = 4.6122 Å, c = 5.7867 Å
α = 90.00°, β = 102.47°, γ = 90.00°
Space group P2/m (No. 10)
Asymmetric unit:
Sc (0.0000, 0.0000, 0.0000) (multiplicity 1)
Zn (0.5000, 0.0000, 0.5000) (multiplicity 1)
Cd (0.3727, 0.5000, 0.7398) (multiplicity 2)

***

- energy relative to the elements of number 1 (ScZn2Cd)?
  0.8 eV/f.u.